Ga3TeC after structural relaxation. Source: Alexandria, functional PBE.

Summary:
space-group type: Pm-3m (221)
V: 38.51 Å³/atom
size of the total moment: 2.50 μB per cell
formation energy from raw total energies: 1.8289 eV/atom

Structure (POSCAR):
```
Ga3TeC
1.0
5.774 0.000 0.000
0.000 5.774 0.000
0.000 0.000 5.774
Ga Te C
3 1 1
Cartesian
0.000 0.000 2.887
0.000 2.887 0.000
2.887 0.000 0.000
0.000 0.000 0.000
2.887 2.887 2.887
```